Density functional theory data (PBE) for a relaxed structure of Ga2Pd7S2.

```
11
Lattice="4.183 -3.564 0.000 4.183 3.564 0.000 -1.271 0.000 6.252" Properties=species:S:1:pos:R:3 pbc="T T T"
Ga 1.696 0.000 0.217
Ga 5.400 0.000 6.035
Pd -0.150 0.000 1.853
Pd 1.311 1.443 4.497
Pd 1.311 -1.443 4.497
Pd 4.183 0.000 0.000
Pd 5.785 1.443 1.754
Pd 5.785 -1.443 1.754
Pd 7.245 0.000 4.399
S 3.548 1.507 3.126
S 3.548 -1.507 3.126
```

Computed properties:
space-group type: C2/m, No. 12
formation energy without anion corrections: -2.65 eV/f.u.

***

Density functional theory data (PBE) for a relaxed structure of LaBe2Pt5.

```
8
Lattice="-1.968 3.361 4.843 1.968 -3.361 4.843 1.968 3.361 -4.843" Properties=species:S:1:pos:R:3 pbc="T T T"
La 0.000 0.000 0.000
Be 1.968 0.000 2.603
Be 0.000 3.361 2.240
Pt 1.968 1.993 -1.476
Pt 1.968 1.993 1.476
Pt 0.000 3.361 0.000
Pt 0.000 1.369 3.367
Pt 0.000 1.369 6.319
```

Computed properties:
E_form: -0.84 eV/atom
space-group type: Immm, No. 71

***

Density functional theory data (PBE) for a relaxed structure of Ac6CoIr2Cl3.

```
12
Lattice="3.724 -6.453 0.000 3.724 6.453 0.000 -2.476 0.000 7.963" Properties=species:S:1:pos:R:3 pbc="T T T"
Ac 1.217 2.109 1.596
Ac -0.042 0.000 6.366
Ac 1.217 -2.109 1.596
Ac 3.755 2.109 6.367
Ac 5.014 0.000 1.597
Ac 3.755 -2.109 6.367
Co 0.000 0.000 0.000
Ir 3.724 2.154 0.000
Ir 3.724 -2.154 0.000
Cl 2.486 4.365 3.982
Cl 2.486 0.000 3.982
Cl 2.486 -4.365 3.982
```

Computed properties:
space-group type: C2/m, No. 12
formation energy without anion corrections: -13.69 eV/f.u.

***

no.,size of the total moment (μB/f.u.)
1,0.000
2,0.000
3,0.000